Record 1
The following is a DFT calculation (PBEsol) of a geometry-optimized Na2Bi2Rh structure.

abc: 5.2349 7.0073 7.0073
angles: 90.00 90.00 90.00
Fractional coordinates of all 10 atoms:
Na1 0.5000 0.1712 0.6712
Bi1 0.0000 0.3482 0.8482
Rh1 0.0000 0.0000 0.0000
Bi2 0.0000 0.1518 0.3482
Na2 0.5000 0.6712 0.8288
Na3 0.5000 0.3288 0.1712
Bi3 0.0000 0.6518 0.1518
Na4 0.5000 0.8288 0.3288
Rh2 0.0000 0.5000 0.5000
Bi4 0.0000 0.8482 0.6518

Results
ΔH_f (0 K) = -0.1723 eV per atom
Fermi-level density of states = 3.32 states/eV/cell

---

Record 2
The following is a DFT calculation (PBEsol) of a geometry-optimized NaBi2SbRh structure.

abc: 4.8319 5.8415 5.8415
angles: 90.00 90.00 90.00
Fractional coordinates of all 5 atoms:
Bi1 0.0000 0.5000 0.0000
Sb1 0.0000 0.0000 0.0000
Bi2 0.0000 0.0000 0.5000
Rh1 0.5000 0.0000 0.0000
Na1 0.5000 0.5000 0.5000

Results
Fermi-level density of states = 3.47 states/eV/cell
uncorrected formation energy = 0.53 eV/atom

---

Record 3
The following is a DFT calculation (PBEsol) of a geometry-optimized NaSiBiRh2 structure.

abc: 4.6015 4.6015 4.8428
angles: 90.00 90.00 90.00
Fractional coordinates of all 5 atoms:
Si1 0.5000 0.5000 0.5000
Bi1 0.0000 0.0000 0.5000
Rh1 0.0000 0.5000 0.0000
Na1 0.0000 0.0000 0.0000
Rh2 0.5000 0.0000 0.0000

Results
Fermi-level density of states = 5.68 states/eV/cell
uncorrected formation energy = 1.65 eV/atom

---

Record 4
The following is a DFT calculation (PBEsol) of a geometry-optimized NaBiRh2W structure.

abc: 4.7444 4.7444 5.2918
angles: 90.00 90.00 90.00
Fractional coordinates of all 5 atoms:
Na1 0.5000 0.5000 0.5000
Rh1 0.5000 0.0000 0.0000
W1 0.0000 0.0000 0.0000
Rh2 0.0000 0.5000 0.0000
Bi1 0.0000 0.0000 0.5000

Results
ΔH_f (0 K) = 0.9401 eV per atom
Fermi-level density of states = 4.19 states/eV/cell

---

Record 5
The following is a DFT calculation (PBEsol) of a geometry-optimized Na2BiS2 structure.

abc: 4.0118 4.0118 7.3014
angles: 105.95 105.95 90.00
Fractional coordinates of all 5 atoms:
Na1 0.7500 0.2500 0.5000
Na2 0.2500 0.7500 0.5000
S1 0.3868 0.3868 0.7736
S2 0.6132 0.6132 0.2264
Bi1 0.0000 0.0000 0.0000

Results
Fermi-level density of states = 1.58 states/eV/cell
uncorrected formation energy = -0.35 eV/atom

---

Record 6
The following is a DFT calculation (PBEsol) of a geometry-optimized NaBiS2 structure.

abc: 4.0330 4.0330 5.5040
angles: 90.00 90.00 90.00
Fractional coordinates of all 4 atoms:
Na1 0.0000 0.0000 0.0000
Bi1 0.5000 0.5000 0.5000
S1 0.5000 0.5000 0.0000
S2 0.0000 0.0000 0.5000

Results
Fermi-level density of states = 0.30 states/eV/cell
uncorrected formation energy = -0.68 eV/atom

---

Record 7
The following is a DFT calculation (PBEsol) of a geometry-optimized Na2BiS2 structure.

abc: 3.7551 7.6131 7.6131
angles: 90.00 90.00 90.00
Fractional coordinates of all 10 atoms:
Na1 0.5000 0.6325 0.8675
Bi1 0.0000 0.5000 0.5000
Na2 0.5000 0.8675 0.3675
S1 0.0000 0.1735 0.3265
Bi2 0.0000 0.0000 0.0000
S2 0.0000 0.8265 0.6735
Na3 0.5000 0.3675 0.1325
S3 0.0000 0.3265 0.8265
S4 0.0000 0.6735 0.1735
Na4 0.5000 0.1325 0.6325

Results
Fermi-level density of states = 1.01 states/eV/cell
uncorrected formation energy = -0.74 eV/atom

---

Record 8
The following is a DFT calculation (PBEsol) of a geometry-optimized NaBiS2 structure.

abc: 4.0115 4.0115 7.1163
angles: 73.63 73.63 60.00
Fractional coordinates of all 4 atoms:
S1 0.2537 0.2537 0.2389
S2 0.7463 0.7463 0.7611
Bi1 0.0000 0.0000 0.0000
Na1 0.5000 0.5000 0.5000

Results
uncorrected formation energy = -0.77 eV/atom

---

Record 9
The following is a DFT calculation (PBEsol) of a geometry-optimized NaTiBi2S structure.

abc: 4.4579 5.5925 5.5925
angles: 90.00 90.00 90.00
Fractional coordinates of all 5 atoms:
Na1 0.5000 0.5000 0.5000
S1 0.0000 0.0000 0.0000
Bi1 0.0000 0.0000 0.5000
Ti1 0.5000 0.0000 0.0000
Bi2 0.0000 0.5000 0.0000

Results
Fermi-level density of states = 4.73 states/eV/cell
uncorrected formation energy = 0.00 eV/atom

---

Record 10
The following is a DFT calculation (PBEsol) of a geometry-optimized Na3BiSb structure.

abc: 5.8329 5.8329 5.8329
angles: 90.00 90.00 90.00
Fractional coordinates of all 5 atoms:
Sb1 0.5000 0.5000 0.5000
Na1 0.5000 0.0000 0.0000
Bi1 0.0000 0.0000 0.0000
Na2 0.0000 0.0000 0.5000
Na3 0.0000 0.5000 0.0000

Results
Fermi-level density of states = 5.60 states/eV/cell
excess energy over the best structure of this formula in the dataset = 93 meV/atom
uncorrected formation energy = 0.26 eV/atom

---

Record 11
The following is a DFT calculation (PBEsol) of a geometry-optimized Na3BiSb structure.

abc: 5.7557 5.7557 5.7557
angles: 90.00 90.00 90.00
Fractional coordinates of all 5 atoms:
Sb1 0.0000 0.0000 0.0000
Bi1 0.5000 0.5000 0.5000
Na1 0.0000 0.0000 0.5000
Na2 0.5000 0.0000 0.0000
Na3 0.0000 0.5000 0.0000

Results
Fermi-level density of states = 5.57 states/eV/cell
excess energy over the best structure of this formula in the dataset = 0 meV/atom
uncorrected formation energy = 0.17 eV/atom

---

Record 12
The following is a DFT calculation (PBEsol) of a geometry-optimized NaScBi3 structure.

abc: 5.5735 5.5735 5.5735
angles: 90.00 90.00 90.00
Fractional coordinates of all 5 atoms:
Na1 0.5000 0.5000 0.5000
Bi1 0.0000 0.0000 0.5000
Bi2 0.0000 0.5000 0.0000
Sc1 0.0000 0.0000 0.0000
Bi3 0.5000 0.0000 0.0000

Results
ΔH_f (0 K) = -0.0796 eV per atom
Fermi-level density of states = 2.64 states/eV/cell